Zn2PtAu2 | PBE | relaxed

The space group is I4/mmm (No. 139) and the conventional cell measures 3.735, 3.735 and 12.695 Å, with angles of 90.00, 90.00 and 90.00 degrees. Symmetry generates all atoms from Zn at (0.000, 0.000, 0.094), Pt at (0.000, 0.000, 0.500) and Au at (0.000, 0.500, 0.250).

Its electronic total energy is -3.012 eV per atom. For the calculated formation energy, the calculation gives 0.02 eV per atom. The calculation puts the size of the total moment at 0.00 μB/f.u. The energy above the most stable polymorph in this dataset comes out at 152.8 kJ/mol of formula units.

---

TlTcP2 | PBE | relaxed

The space group is I-42d (No. 122) and the conventional cell measures 5.941, 5.941 and 11.367 Å, with angles of 90.00, 90.00 and 90.00 degrees. Symmetry generates all atoms from Tl at (0.000, 0.000, 0.000), Tc at (0.000, 0.000, 0.500) and P at (0.154, 0.250, 0.625).

Its electronic total energy is -5.801 eV per atom. For the calculated formation energy, the calculation gives 0.09 eV per atom. The calculation puts the size of the total moment at 0.00 μB/f.u. The energy above the most stable polymorph in this dataset comes out at 64.2 kJ/mol of formula units.

---

TiGa2Rh2 | PBE | relaxed

The space group is I4/mmm (No. 139) and the conventional cell measures 3.552, 3.552 and 12.623 Å, with angles of 90.00, 90.00 and 90.00 degrees. Symmetry generates all atoms from Ti at (0.000, 0.000, 0.000), Ga at (0.000, 0.500, 0.250) and Rh at (0.000, 0.000, 0.397).

Its electronic total energy is -6.120 eV per atom. For the calculated formation energy, the calculation gives -0.39 eV per atom. The calculation puts the size of the total moment at 0.00 μB/f.u. The energy above the most stable polymorph in this dataset comes out at 95.1 kJ/mol of formula units.

---

Ce2GdRh | PBE | relaxed

The space group is P4/mmm (No. 123) and the conventional cell measures 3.652, 3.652 and 7.814 Å, with angles of 90.00, 90.00 and 90.00 degrees. Symmetry generates all atoms from Ce at (0.000, 0.000, 0.191), Gd at (0.500, 0.500, 0.500) and Rh at (0.500, 0.500, 0.000).

Its electronic total energy is -8.603 eV per atom. For the calculated formation energy, the calculation gives -0.28 eV per atom. The calculation puts the size of the total moment at 8.87 μB/f.u. The energy above the most stable polymorph in this dataset comes out at 0.0 kJ/mol of formula units.

---

DyHo6Tm6 | PBE | relaxed

The space group is P6/mmm (No. 191) and the conventional cell measures 6.5703, 6.5703 and 11.2213 Å, with angles of 90.00, 90.00 and 120.00 degrees. Symmetry generates all atoms from Dy at (0.0000, 0.0000, 0.0000), Ho at (0.0000, 0.0000, 0.3449), Ho at (0.3333, 0.6667, 0.0000), Ho at (0.3333, 0.6667, 0.5000) and Tm at (0.0000, 0.5000, 0.2429).

Its electronic total energy is -4.246 eV per atom. For the calculated formation energy, the calculation gives 0.28 eV per atom. The calculation puts the size of the total moment at 2.77 μB/f.u.

---

Pm4Pb3C | PBE | relaxed

The space group is Cmmm (No. 65) and the conventional cell measures 10.318, 12.306 and 3.759 Å, with angles of 90.00, 90.00 and 90.00 degrees. Symmetry generates all atoms from Pm at (0.000, 0.218, 0.000), Pm at (0.172, 0.000, 0.500), Pb at (0.000, 0.500, 0.000), Pb at (0.250, 0.250, 0.500) and C at (0.000, 0.000, 0.000).

Its electronic total energy is -5.198 eV per atom. For the calculated formation energy, the calculation gives -0.28 eV per atom. The calculation puts the size of the total moment at 0.00 μB/f.u.

---

What did the second record say?
TlTcP2 | PBE | relaxed

The space group is I-42d (No. 122) and the conventional cell measures 5.941, 5.941 and 11.367 Å, with angles of 90.00, 90.00 and 90.00 degrees. Symmetry generates all atoms from Tl at (0.000, 0.000, 0.000), Tc at (0.000, 0.000, 0.500) and P at (0.154, 0.250, 0.625).

Its electronic total energy is -5.801 eV per atom. For the calculated formation energy, the calculation gives 0.09 eV per atom. The calculation puts the size of the total moment at 0.00 μB/f.u. The energy above the most stable polymorph in this dataset comes out at 64.2 kJ/mol of formula units.